A geometry-optimized Pm12Pd6Au structure. Source: Alexandria, functional PBE.

Cell lengths 8.538, 8.538, 8.538 Å; angles 100.36, 100.36, 100.36 degrees
Atoms (fractional coordinates):
Pm1 0.417 0.574 0.178
Pm2 0.583 0.426 0.822
Pm3 0.077 0.941 0.327
Pm4 0.327 0.077 0.941
Pm5 0.426 0.822 0.583
Pm6 0.673 0.923 0.059
Pm7 0.059 0.673 0.923
Pm8 0.178 0.417 0.574
Pm9 0.574 0.178 0.417
Pm10 0.923 0.059 0.673
Pm11 0.822 0.583 0.426
Pm12 0.941 0.327 0.077
Pd1 0.312 0.136 0.616
Pd2 0.864 0.384 0.688
Pd3 0.384 0.688 0.864
Pd4 0.136 0.616 0.312
Pd5 0.616 0.312 0.136
Pd6 0.688 0.864 0.384
Au1 0.000 0.000 0.000



A geometry-optimized Pm3Pd4Au2 structure. Source: Alexandria, functional PBE.

Cell lengths 7.183, 7.669, 7.669 Å; angles 84.62, 79.07, 79.07 degrees
Atoms (fractional coordinates):
Pm1 0.363 0.263 0.024
Pm2 0.137 0.976 0.737
Pm3 0.863 0.024 0.263
Pm4 0.637 0.737 0.976
Pm5 0.250 0.589 0.411
Pm6 0.750 0.411 0.589
Pd1 0.900 0.771 0.594
Pd2 0.168 0.757 0.055
Pd3 0.400 0.594 0.771
Pd4 0.668 0.055 0.757
Pd5 0.100 0.229 0.406
Pd6 0.832 0.243 0.945
Pd7 0.332 0.945 0.243
Pd8 0.600 0.406 0.229
Au1 0.550 0.811 0.496
Au2 0.950 0.504 0.189
Au3 0.450 0.189 0.504
Au4 0.050 0.496 0.811

## Properties
Excess energy over the best structure of this formula in the dataset in eV per atom: 0.082



A geometry-optimized Pm2Pd3Au2 structure. Source: Alexandria, functional PBE.

Cell lengths 7.360, 7.360, 7.360 Å; angles 109.47, 109.47, 109.47 degrees
Atoms (fractional coordinates):
Pm1 0.004 0.500 0.000
Pm2 0.000 0.000 0.504
Pm3 0.500 0.504 0.500
Pm4 0.496 0.996 0.996
Pd1 0.518 0.268 0.750
Pd2 0.768 0.750 0.018
Pd3 0.982 0.232 0.250
Pd4 0.732 0.250 0.482
Pd5 0.750 0.482 0.232
Pd6 0.250 0.018 0.268
Au1 0.386 0.500 0.000
Au2 0.114 0.614 0.614
Au3 0.000 0.000 0.886
Au4 0.500 0.886 0.500

## Properties
Excess energy over the best structure of this formula in the dataset in eV per atom: 0.047



A geometry-optimized PmPdAu structure. Source: Alexandria, functional PBE.

Cell lengths 5.007, 5.007, 5.793 Å; angles 90.00, 90.00, 116.58 degrees
Atoms (fractional coordinates):
Pd1 0.308 0.692 0.750
Pd2 0.692 0.308 0.250
Pm1 0.658 0.342 0.750
Pm2 0.342 0.658 0.250
Au1 0.000 0.000 0.000
Au2 0.000 0.000 0.500

## Properties
Excess energy over the best structure of this formula in the dataset in eV per atom: 0.045



A geometry-optimized Pm2Pd5Au structure. Source: Alexandria, functional PBE.

Cell lengths 4.257, 5.914, 11.825 Å; angles 90.00, 90.00, 90.00 degrees
Atoms (fractional coordinates):
Au1 0.000 0.500 0.000
Au2 0.000 0.000 0.500
Pd1 0.500 0.261 0.878
Pd2 0.500 0.239 0.378
Pd3 0.000 0.500 0.500
Pd4 0.000 0.000 0.000
Pd5 0.000 0.485 0.250
Pd6 0.500 0.761 0.622
Pd7 0.000 0.985 0.250
Pd8 0.000 0.015 0.750
Pd9 0.000 0.515 0.750
Pd10 0.500 0.739 0.122
Pm1 0.500 0.266 0.630
Pm2 0.500 0.766 0.870
Pm3 0.500 0.734 0.370
Pm4 0.500 0.234 0.130



A geometry-optimized PmPd8Au4 structure. Source: Alexandria, functional PBE.

Cell lengths 5.451, 7.082, 7.082 Å; angles 81.48, 67.36, 67.36 degrees
Atoms (fractional coordinates):
Au1 0.000 0.500 0.000
Au2 0.500 0.000 0.500
Au3 0.000 0.000 0.500
Au4 0.500 0.500 0.000
Pd1 0.000 0.350 0.650
Pd2 0.350 0.650 0.650
Pd3 0.000 0.650 0.350
Pd4 0.714 0.786 0.786
Pd5 0.286 0.214 0.214
Pd6 0.500 0.786 0.214
Pd7 0.650 0.350 0.350
Pd8 0.500 0.214 0.786
Pm1 0.000 0.000 0.000



A geometry-optimized Pm6PdAu3 structure. Source: Alexandria, functional PBE.

Cell lengths 7.332, 7.651, 10.661 Å; angles 90.00, 85.00, 90.00 degrees
Atoms (fractional coordinates):
Au1 0.553 0.878 0.770
Au2 0.447 0.122 0.230
Au3 0.000 0.000 0.500
Au4 0.500 0.500 0.000
Au5 0.053 0.622 0.270
Au6 0.947 0.378 0.730
Pm1 0.171 0.044 0.747
Pm2 0.185 0.327 0.427
Pm3 0.815 0.673 0.573
Pm4 0.829 0.956 0.253
Pm5 0.671 0.456 0.247
Pm6 0.315 0.827 0.073
Pm7 0.352 0.825 0.418
Pm8 0.148 0.325 0.082
Pm9 0.685 0.173 0.927
Pm10 0.648 0.175 0.582
Pm11 0.329 0.544 0.753
Pm12 0.852 0.675 0.918
Pd1 0.500 0.500 0.500
Pd2 0.000 0.000 0.000



A geometry-optimized Pm2Pd6Au structure. Source: Alexandria, functional PBE.

Cell lengths 4.408, 7.255, 6.602 Å; angles 123.33, 89.93, 90.00 degrees
Atoms (fractional coordinates):
Pm1 0.500 0.208 0.415
Pm2 0.500 0.792 0.585
Pd1 0.000 0.175 0.725
Pd2 0.000 0.451 0.275
Pd3 0.000 0.549 0.725
Pd4 0.500 0.292 0.000
Pd5 0.000 0.825 0.275
Pd6 0.500 0.708 0.000
Au1 0.000 0.000 0.000

## Properties
Excess energy over the best structure of this formula in the dataset in eV per atom: 0.029



A geometry-optimized PmPd3Au9 structure. Source: Alexandria, functional PBE.

Cell lengths 5.630, 7.268, 7.154 Å; angles 80.94, 66.83, 66.41 degrees
Atoms (fractional coordinates):
Au1 0.651 0.336 0.343
Au2 0.349 0.664 0.657
Au3 0.000 0.500 0.000
Au4 0.714 0.786 0.783
Au5 0.994 0.336 0.657
Au6 0.286 0.214 0.217
Au7 0.503 0.214 0.783
Au8 0.006 0.664 0.343
Au9 0.497 0.786 0.217
Pd1 0.500 0.000 0.500
Pd2 0.000 0.000 0.500
Pd3 0.500 0.500 0.000
Pm1 0.000 0.000 0.000



A geometry-optimized Pm3PdAu2 structure. Source: Alexandria, functional PBE.

Cell lengths 3.639, 3.639, 11.130 Å; angles 90.00, 90.00, 90.00 degrees
Atoms (fractional coordinates):
Pm1 0.000 0.000 0.000
Pm2 0.000 0.000 0.661
Pm3 0.000 0.000 0.339
Au1 0.500 0.500 0.831
Au2 0.500 0.500 0.169
Pd1 0.500 0.500 0.500



For each record above, in turn, the calculated DFT formation energy values are -448; -670; -591; -746; -814; -226; -539; -552; -261; -775 meV per atom.